# 1
Li7Mo6, relaxed, DFT PBE; symmetry = No. 166; VASP energy = -5.53 eV/atom; formation energy = 500 meV/atom
1.0
2.311 1.334 10.019
-2.311 1.334 10.019
0.000 -2.669 10.019
Li Mo
7 6
direct
0.000 0.000 0.000
0.096 0.096 0.588
0.096 0.588 0.096
0.412 0.904 0.904
0.588 0.096 0.096
0.904 0.412 0.904
0.904 0.904 0.412
0.155 0.155 0.155
0.344 0.344 0.344
0.461 0.461 0.461
0.539 0.539 0.539
0.656 0.656 0.656
0.845 0.845 0.845


# 2
Ce2GeS4, relaxed, DFT PBE; symmetry = No. 11; VASP energy = -6.03 eV/atom
1.0
6.365 0.000 0.000
0.000 6.271 0.000
-2.526 0.000 8.008
Ce Ge S
4 2 8
direct
0.240 0.250 0.434
0.257 0.250 0.951
0.743 0.750 0.049
0.760 0.750 0.566
0.229 0.750 0.686
0.771 0.250 0.314
0.057 0.750 0.355
0.103 0.750 0.935
0.497 0.006 0.740
0.497 0.494 0.740
0.503 0.506 0.260
0.503 0.994 0.260
0.897 0.250 0.065
0.943 0.250 0.645


# 3
Ac5PmHo4, relaxed, DFT PBE; symmetry = No. 12; VASP energy = -4.31 eV/atom; formation energy = 49 meV/atom
1.0
9.630 -2.731 0.000
9.630 2.731 0.000
-1.993 0.000 7.178
Ac Pm Ho
5 1 4
direct
0.000 0.000 0.000
0.201 0.201 0.602
0.399 0.399 0.196
0.601 0.601 0.804
0.799 0.799 0.398
0.000 0.000 0.500
0.199 0.199 0.101
0.400 0.400 0.699
0.600 0.600 0.301
0.801 0.801 0.899


# 4
CeEr2TmSb4, relaxed, DFT PBE; symmetry = No. 10; VASP energy = -5.57 eV/atom
1.0
7.591 0.000 0.000
0.000 4.391 0.000
-2.530 0.000 7.161
Ce Er Tm Sb
1 2 1 4
direct
0.000 0.000 0.000
0.000 0.500 0.500
0.500 0.000 0.500
0.500 0.500 0.000
0.253 0.000 0.748
0.256 0.500 0.255
0.744 0.500 0.745
0.747 0.000 0.252


# 5
Nd3Sm5Y3, relaxed, DFT PBE; symmetry = No. 189; energy above the lowest structure with this stoichiometry = 0.0 meV per atom; VASP energy = -4.45 eV/atom; formation energy = 760 meV/atom
1.0
9.690 0.000 0.000
-4.845 8.392 0.000
0.000 0.000 5.607
Nd Sm Y
3 5 3
direct
0.000 0.585 0.000
0.415 0.415 0.000
0.585 0.000 0.000
0.000 0.381 0.500
0.333 0.667 0.500
0.381 0.000 0.500
0.619 0.619 0.500
0.667 0.333 0.500
0.000 0.749 0.500
0.251 0.251 0.500
0.749 0.000 0.500


# 6
PbN2Cl, relaxed, DFT PBE; symmetry = No. 1; energy above the lowest structure with this stoichiometry = 0.0 meV per atom; VASP energy = -5.73 eV/atom
1.0
3.426 0.000 0.000
-1.602 5.316 0.000
-1.428 -1.569 7.149
Pb N Cl
1 2 1
direct
0.000 0.000 0.000
0.384 0.416 0.457
0.520 0.629 0.507
0.725 0.493 0.997


# 7
Pm4Nd2In, relaxed, DFT PBE; symmetry = No. 14; energy above the lowest structure with this stoichiometry = 17.7 meV per atom; VASP energy = -4.51 eV/atom; formation energy = -44 meV/atom
1.0
6.414 0.000 0.000
0.000 10.977 0.000
-0.007 0.000 6.620
Pm Nd In
8 4 2
direct
0.068 0.153 0.000
0.068 0.347 0.500
0.396 0.750 0.251
0.396 0.750 0.751
0.604 0.250 0.249
0.604 0.250 0.749
0.932 0.653 0.500
0.932 0.847 0.000
0.246 0.042 0.501
0.246 0.458 0.001
0.754 0.542 0.999
0.754 0.958 0.499
0.500 0.000 0.000
0.500 0.500 0.500


# 8
Ru3SeBr, relaxed, DFT PBE; symmetry = No. 221; energy above the lowest structure with this stoichiometry = 0.0 meV per atom; VASP energy = -5.37 eV/atom
1.0
4.662 0.000 0.000
0.000 4.662 0.000
0.000 0.000 4.662
Ru Se Br
3 1 1
direct
0.000 0.000 0.500
0.000 0.500 0.000
0.500 0.000 0.000
0.000 0.000 0.000
0.500 0.500 0.500


| no. | V (Å³/atom) |
| --- | --- |
| 1 | 14.3 |
| 2 | 22.8 |
| 3 | 37.8 |
| 4 | 29.8 |
| 5 | 41.4 |
| 6 | 32.5 |
| 7 | 33.3 |
| 8 | 20.3 |